[1]
First-principles (PBE) data for SnHg2Pd2 after structural relaxation, as listed in Alexandria via LeMat-Bulk. Values from VASP.

Energy of formation ... -0.33 eV/f.u.
Polymorph energy (0 for the lowest one) ... 109 meV per atom

```
&SYSTEM
  ibrav = 0, nat = 10, ntyp = 3
/
ATOMIC_SPECIES
Hg 200.59 Hg.upf
Pd 106.42 Pd.upf
Sn 118.71 Sn.upf
CELL_PARAMETERS angstrom
8.123 0.000 0.000
0.000 8.123 0.000
0.000 0.000 3.088
ATOMIC_POSITIONS crystal
Hg 0.364 0.864 0.000
Hg 0.864 0.636 0.000
Hg 0.636 0.136 0.000
Hg 0.136 0.364 0.000
Pd 0.161 0.661 0.500
Pd 0.661 0.839 0.500
Pd 0.839 0.339 0.500
Pd 0.339 0.161 0.500
Sn 0.000 0.000 0.000
Sn 0.500 0.500 0.000
```

=====

[2]
First-principles (PBE) data for ScTlZn2 after structural relaxation, as listed in Alexandria via LeMat-Bulk. Values from VASP.

Energy of formation ... 0.25 eV/f.u.
Polymorph energy (0 for the lowest one) ... 231 meV per atom

```
&SYSTEM
  ibrav = 0, nat = 8, ntyp = 3
/
ATOMIC_SPECIES
Sc 44.96 Sc.upf
Tl 204.38 Tl.upf
Zn 65.41 Zn.upf
CELL_PARAMETERS angstrom
-3.034 -1.126 -6.959
2.876 -7.115 -0.102
-2.557 -5.140 -2.285
ATOMIC_POSITIONS crystal
Sc 0.500 0.500 0.000
Sc 0.250 0.750 0.500
Tl 0.000 0.000 0.000
Tl 0.750 0.250 0.500
Zn 0.629 0.125 0.250
Zn 0.121 0.625 0.250
Zn 0.375 0.371 0.750
Zn 0.875 0.879 0.750
```

=====

[3]
First-principles (PBE) data for MgRh3Cl after structural relaxation, as listed in Alexandria via LeMat-Bulk. Values from VASP.

Polymorph energy (0 for the lowest one) ... 929 meV per atom

```
&SYSTEM
  ibrav = 0, nat = 5, ntyp = 3
/
ATOMIC_SPECIES
Mg 24.30 Mg.upf
Rh 102.91 Rh.upf
Cl 35.45 Cl.upf
CELL_PARAMETERS angstrom
-1.551 -4.392 -0.550
0.001 -0.583 4.654
-4.426 1.539 0.194
ATOMIC_POSITIONS crystal
Mg 0.000 0.000 0.000
Rh 0.000 0.500 0.000
Rh 0.000 0.000 0.500
Rh 0.500 0.000 0.000
Cl 0.500 0.500 0.500
```

=====

[4]
First-principles (PBE) data for PrScNiPt after structural relaxation, as listed in Alexandria via LeMat-Bulk. Values from VASP.

Energy of formation ... -2.56 eV/f.u.

```
&SYSTEM
  ibrav = 0, nat = 4, ntyp = 4
/
ATOMIC_SPECIES
Pr 140.91 Pr.upf
Ni 58.69 Ni.upf
Sc 44.96 Sc.upf
Pt 195.08 Pt.upf
CELL_PARAMETERS angstrom
-3.460 3.365 -0.566
-4.607 -1.034 1.151
-2.051 2.056 3.897
ATOMIC_POSITIONS crystal
Pr 0.000 0.000 0.000
Ni 0.250 0.250 0.250
Sc 0.500 0.500 0.500
Pt 0.750 0.750 0.750
```

=====

[5]
First-principles (PBE) data for Y5Fe2Hg after structural relaxation, as listed in Alexandria via LeMat-Bulk. Values from VASP.

Energy of formation ... -1.12 eV/f.u.

```
&SYSTEM
  ibrav = 0, nat = 16, ntyp = 3
/
ATOMIC_SPECIES
Y 88.91 Y.upf
Fe 55.84 Fe.upf
Hg 200.59 Hg.upf
CELL_PARAMETERS angstrom
6.756 0.000 -3.189
-1.505 6.586 -3.189
0.062 0.078 8.882
ATOMIC_POSITIONS crystal
Y 0.537 0.689 0.727
Y 0.811 0.963 0.273
Y 0.000 0.000 0.000
Y 0.500 0.500 0.000
Y 0.189 0.037 0.727
Y 0.689 0.189 0.727
Y 0.037 0.537 0.727
Y 0.311 0.811 0.273
Y 0.963 0.463 0.273
Y 0.463 0.311 0.273
Fe 0.106 0.394 0.000
Fe 0.606 0.106 0.000
Fe 0.394 0.894 0.000
Fe 0.894 0.606 0.000
Hg 0.750 0.750 0.500
Hg 0.250 0.250 0.500
```

=====

[6]
First-principles (PBE) data for K2CrGeTe4 after structural relaxation, as listed in Alexandria via LeMat-Bulk. Values from VASP.

Raw total energy ... -4.042 eV/atom

```
&SYSTEM
  ibrav = 0, nat = 16, ntyp = 4
/
ATOMIC_SPECIES
K 39.10 K.upf
Cr 52.00 Cr.upf
Ge 72.64 Ge.upf
Te 127.60 Te.upf
CELL_PARAMETERS angstrom
8.877 0.038 0.101
0.031 8.877 0.101
-4.271 -4.274 6.192
ATOMIC_POSITIONS crystal
K 0.500 0.000 0.000
K 0.500 0.000 0.500
K 0.000 0.000 0.500
K 0.500 0.500 0.000
Cr 0.000 0.500 0.000
Cr 0.000 0.500 0.500
Ge 0.500 0.500 0.500
Ge 0.000 0.000 0.000
Te 0.184 0.712 0.948
Te 0.788 0.316 0.552
Te 0.212 0.684 0.448
Te 0.816 0.288 0.052
Te 0.778 0.722 0.974
Te 0.778 0.722 0.526
Te 0.222 0.278 0.474
Te 0.222 0.278 0.026
```